Entry 1:
Material: NiAgNF2
Method: DFT, PBE+U
State: optimized geometry

Geometry as extended XYZ:
```
5
Lattice="4.027 0.000 0.000 0.000 4.027 0.000 0.000 0.000 3.889" Properties=species:S:1:pos:R:3 pbc="T T T"
Ni 0.000 0.000 0.000
Ag 2.013 2.013 1.945
N 0.000 0.000 1.945
F 0.000 2.013 0.000
F 2.013 0.000 0.000
```

* energy relative to the lowest polymorph listed for this composition: 0.0000 eV/atom
* total energy: -3.798 eV/atom

Entry 2:
Material: NiAgN2F
Method: DFT, PBE+U
State: optimized geometry

Geometry as extended XYZ:
```
5
Lattice="3.781 0.000 0.000 0.000 3.781 0.000 0.000 0.000 4.093" Properties=species:S:1:pos:R:3 pbc="T T T"
Ni 0.000 0.000 0.000
Ag 1.891 1.891 2.047
N 0.000 1.891 0.000
N 1.891 0.000 0.000
F 0.000 0.000 2.047
```

* energy relative to the lowest polymorph listed for this composition: 0.0000 eV/atom
* total energy: -3.893 eV/atom

> Which value of total energy does entry 1 give?

-3.798 eV/atom